A plane-wave DFT calculation with meta-GGA SCAN was carried out for a crystal of TlCdSb relaxed with PBEsol.

Lattice parameters (Å, degrees): 7.082 7.082 7.082 90.00 90.00 90.00
Space group F-43m (No. 216)
Symmetry-distinct sites (fractional):
1 Tl 0.000 0.000 0.000 x4
2 Cd 0.250 0.250 0.250 x4
3 Sb 0.250 0.250 0.750 x4

Properties
Spin magnetization in μB per cell: 0.00
ρ in g/cm3: 8.2
Fermi-level density of states in states/eV per cell: 3.94
Raw total energy in eV per atom: -46.434
Energy relative to the elements, uncorrected in eV per atom: 0.243

A plane-wave DFT calculation with meta-GGA SCAN was carried out for a crystal of TlCdSb2 relaxed with PBEsol.

Lattice parameters (Å, degrees): 3.3676 3.3676 32.0150 90.00 90.00 120.00
Space group R-3m (No. 166, hexagonal axes)
Symmetry-distinct sites (fractional):
1 Tl 0.0000 0.0000 0.0000 x3
2 Cd 0.0000 0.0000 0.5000 x3
3 Sb 0.0000 0.0000 0.2421 x6

Properties
Spin magnetization in μB per cell: 0.00
ρ in g/cm3: 8.9
Fermi-level density of states in states/eV per cell: 4.54
Raw total energy in eV per atom: -44.208
Energy relative to the elements, uncorrected in eV per atom: 0.116

A plane-wave DFT calculation with meta-GGA SCAN was carried out for a crystal of TlCd2Sb relaxed with PBEsol.

Lattice parameters (Å, degrees): 4.269 4.553 5.085 90.00 90.00 90.00
Space group Pmmm (No. 47)
Symmetry-distinct sites (fractional):
1 Tl 0.000 0.000 0.000 x1
2 Cd 0.500 0.000 0.500 x1
3 Cd 0.500 0.500 0.000 x1
4 Sb 0.000 0.500 0.500 x1

Properties
Spin magnetization in μB per cell: 0.00
ρ in g/cm3: 9.3
Fermi-level density of states in states/eV per cell: 1.74
Raw total energy in eV per atom: -42.518
Energy relative to the elements, uncorrected in eV per atom: 0.094

A plane-wave DFT calculation with meta-GGA SCAN was carried out for a crystal of TlCd3Sb relaxed with PBEsol.

Lattice parameters (Å, degrees): 5.358 5.358 5.358 90.00 90.00 90.00
Space group Pm-3m (No. 221)
Symmetry-distinct sites (fractional):
1 Tl 0.000 0.000 0.000 x1
2 Cd 0.000 0.000 0.500 x3
3 Sb 0.500 0.500 0.500 x1

Properties
Spin magnetization in μB per cell: 0.00
ρ in g/cm3: 7.2
Fermi-level density of states in states/eV per cell: 4.29
Raw total energy in eV per atom: -39.581
Energy relative to the elements, uncorrected in eV per atom: 0.591

spin magnetization of number 4 (TlCd3Sb)? 0.00 μB per cell